Record 1
The following is a DFT calculation (PBE-GGA) of a geometry-optimized SrZr2Be structure. Values from VASP.

The structure in Quantum ESPRESSO input format:
```
&SYSTEM
  ibrav = 0, nat = 12, ntyp = 3
/
ATOMIC_SPECIES
Sr 87.62 Sr.upf
Zr 91.22 Zr.upf
Be 9.01 Be.upf
CELL_PARAMETERS angstrom
3.406 0.000 0.000
-1.703 2.950 0.000
0.000 0.000 29.272
ATOMIC_POSITIONS angstrom
Sr 0.000 0.000 0.000
Sr 0.000 1.967 19.515
Sr 1.703 0.983 9.757
Zr 0.000 0.000 6.565
Zr 0.000 0.000 22.706
Zr 0.000 1.967 12.949
Zr 0.000 1.967 26.080
Zr 1.703 0.983 3.192
Zr 1.703 0.983 16.323
Be 0.000 0.000 14.636
Be 0.000 1.967 4.879
Be 1.703 0.983 24.393
```

Computed properties:
Density of states at the Fermi level (states/eV per atom): 0.77
Crystal system: trigonal
Symmetry: No. 166
E_tot (eV per atom): -5.197

=====

Record 2
The following is a DFT calculation (PBE-GGA) of a geometry-optimized SrZr2Be structure. Values from VASP.

The structure in Quantum ESPRESSO input format:
```
&SYSTEM
  ibrav = 0, nat = 16, ntyp = 3
/
ATOMIC_SPECIES
Sr 87.62 Sr.upf
Zr 91.22 Zr.upf
Be 9.01 Be.upf
CELL_PARAMETERS angstrom
5.112 0.000 0.000
0.000 5.112 0.000
0.000 0.000 18.867
ATOMIC_POSITIONS angstrom
Sr 0.000 0.000 0.000
Sr 0.000 2.556 4.717
Sr 2.556 0.000 14.150
Sr 2.556 2.556 9.433
Zr 0.143 3.834 11.792
Zr 1.278 0.143 7.075
Zr 1.278 2.413 16.508
Zr 2.413 3.834 2.358
Zr 2.699 1.278 2.358
Zr 3.834 2.699 16.508
Zr 3.834 4.969 7.075
Zr 4.969 1.278 11.792
Be 0.000 0.000 9.433
Be 0.000 2.556 14.150
Be 2.556 0.000 4.717
Be 2.556 2.556 0.000
```

Computed properties:
Density of states at the Fermi level (states/eV per atom): 1.52
Crystal system: tetragonal
Symmetry: No. 122
E_tot (eV per atom): -4.641

=====

Record 3
The following is a DFT calculation (PBE-GGA) of a geometry-optimized SrZr2Be structure. Values from VASP.

The structure in Quantum ESPRESSO input format:
```
&SYSTEM
  ibrav = 0, nat = 8, ntyp = 3
/
ATOMIC_SPECIES
Sr 87.62 Sr.upf
Zr 91.22 Zr.upf
Be 9.01 Be.upf
CELL_PARAMETERS angstrom
4.537 0.000 0.000
0.000 4.537 0.000
0.000 0.000 8.915
ATOMIC_POSITIONS angstrom
Sr 0.000 0.000 0.000
Sr 2.269 2.269 4.457
Zr 0.000 0.000 4.457
Zr 0.000 2.269 6.686
Zr 2.269 0.000 2.229
Zr 2.269 2.269 0.000
Be 0.000 2.269 2.229
Be 2.269 0.000 6.686
```

Computed properties:
Density of states at the Fermi level (states/eV per atom): 1.54
Crystal system: tetragonal
Symmetry: No. 119
E_tot (eV per atom): -4.963

=====

Record 4
The following is a DFT calculation (PBE-GGA) of a geometry-optimized SrZrBe3 structure. Values from VASP.

The structure in Quantum ESPRESSO input format:
```
&SYSTEM
  ibrav = 0, nat = 5, ntyp = 3
/
ATOMIC_SPECIES
Sr 87.62 Sr.upf
Zr 91.22 Zr.upf
Be 9.01 Be.upf
CELL_PARAMETERS angstrom
4.635 0.000 0.000
0.000 4.635 0.000
0.000 0.000 4.635
ATOMIC_POSITIONS angstrom
Sr 0.000 0.000 0.000
Zr 2.318 2.318 2.318
Be 0.000 0.000 2.318
Be 0.000 2.318 0.000
Be 2.318 0.000 0.000
```

Computed properties:
Density of states at the Fermi level (states/eV per atom): 0.60
Crystal system: cubic
Symmetry: No. 221
E_tot (eV per atom): -2.399

=====

Record 5
The following is a DFT calculation (PBE-GGA) of a geometry-optimized Sr2ZrBe structure. Values from VASP.

The structure in Quantum ESPRESSO input format:
```
&SYSTEM
  ibrav = 0, nat = 16, ntyp = 3
/
ATOMIC_SPECIES
Sr 87.62 Sr.upf
Zr 91.22 Zr.upf
Be 9.01 Be.upf
CELL_PARAMETERS angstrom
7.686 0.000 0.000
0.000 7.686 0.000
0.000 0.000 7.686
ATOMIC_POSITIONS angstrom
Sr 0.000 0.000 0.000
Sr 0.000 3.843 3.843
Sr 1.922 1.922 1.922
Sr 1.922 5.765 5.765
Sr 3.843 0.000 3.843
Sr 3.843 3.843 0.000
Sr 5.765 1.922 5.765
Sr 5.765 5.765 1.922
Zr 1.922 1.922 5.765
Zr 1.922 5.765 1.922
Zr 5.765 1.922 1.922
Zr 5.765 5.765 5.765
Be 0.000 0.000 3.843
Be 0.000 3.843 0.000
Be 3.843 0.000 0.000
Be 3.843 3.843 3.843
```

Computed properties:
Density of states at the Fermi level (states/eV per atom): 1.24
Crystal system: cubic
Symmetry: No. 216
E_tot (eV per atom): -3.077

=====

Record 6
The following is a DFT calculation (PBE-GGA) of a geometry-optimized Sr2ZrBe structure. Values from VASP.

The structure in Quantum ESPRESSO input format:
```
&SYSTEM
  ibrav = 0, nat = 4, ntyp = 3
/
ATOMIC_SPECIES
Sr 87.62 Sr.upf
Zr 91.22 Zr.upf
Be 9.01 Be.upf
CELL_PARAMETERS angstrom
4.773 0.000 0.000
0.000 4.773 0.000
0.000 0.000 5.071
ATOMIC_POSITIONS angstrom
Sr 0.000 2.386 0.000
Sr 2.386 0.000 0.000
Zr 0.000 0.000 2.535
Be 2.386 2.386 2.535
```

Computed properties:
Density of states at the Fermi level (states/eV per atom): 1.70
Crystal system: tetragonal
Symmetry: No. 123
E_tot (eV per atom): -3.092